A) Density functional theory data (GGA-PBE) for an optimized crystal structure of RbHfSb.

a b c (Å): 5.3185 5.3185 5.3185
angles (deg): 60.00 60.00 60.00
Closest atoms and distances in Å follow each position.
Atoms (fractional coordinates):
Hf 0.2500 0.2500 0.2500  4 Rb 3.26
Sb 0.7500 0.7500 0.7500  4 Rb 3.26
Rb 0.0000 0.0000 0.0000  4 Sb 3.26, 4 Hf 3.26

## Properties
Space-group type: F-43m

B) Density functional theory data (GGA-PBE) for an optimized crystal structure of RbHfSb.

a b c (Å): 5.2831 5.2831 5.2831
angles (deg): 60.00 60.00 60.00
Closest atoms and distances in Å follow each position.
Atoms (fractional coordinates):
Hf 0.7500 0.7500 0.7500  4 Sb 3.24
Sb 0.0000 0.0000 0.0000  4 Rb 3.24, 4 Hf 3.24
Rb 0.2500 0.2500 0.2500  4 Sb 3.24

## Properties
Space-group type: F-43m

Short version: A) is the least stable of them.

A) Density functional theory data (GGA-PBE) for an optimized crystal structure of RbHfScSe3.

a b c (Å): 8.8677 3.8322 10.8295
angles (deg): 90.00 113.59 90.00
Closest atoms and distances in Å follow each position.
Atoms (fractional coordinates):
Se 0.8904 0.2500 0.1160  2 Hf 2.68, 1 Sc 2.78
Se 0.4691 0.7500 0.8189  3 Hf 2.60-2.74, 1 Sc 2.72
Se 0.5309 0.2500 0.1811  3 Hf 2.60-2.74, 1 Sc 2.72
Se 0.8174 0.7500 0.5134  3 Sc 2.64-2.70
Se 0.1826 0.2500 0.4866  3 Sc 2.64-2.70
Se 0.1096 0.7500 0.8840  2 Hf 2.68, 1 Sc 2.78
Rb 0.2407 0.7500 0.2473  7 Se 3.42-3.63, 2 Rb 3.83
Rb 0.7593 0.2500 0.7527  7 Se 3.42-3.63, 2 Rb 3.83
Sc 0.1489 0.7500 0.6415  5 Se 2.64-2.78
Sc 0.8511 0.2500 0.3585  5 Se 2.64-2.78
Hf 0.3360 0.2500 0.9267  5 Se 2.60-2.74
Hf 0.6640 0.7500 0.0733  5 Se 2.60-2.74

## Properties
Space-group type: P2_1/m

B) Density functional theory data (GGA-PBE) for an optimized crystal structure of RbHfScSe3.

a b c (Å): 8.0788 8.0788 10.4283
angles (deg): 90.00 90.00 150.27
Closest atoms and distances in Å follow each position.
Atoms (fractional coordinates):
Hf 0.9711 0.0289 0.2500  4 Se 2.55-2.58
Hf 0.0289 0.9711 0.7500  4 Se 2.55-2.58
Se 0.8814 0.1185 0.4538  1 Hf 2.55, 2 Sc 2.82
Se 0.1185 0.8814 0.5462  1 Hf 2.55, 2 Sc 2.82
Se 0.5691 0.4309 0.2500  2 Hf 2.58, 2 Sc 2.82
Se 0.4309 0.5691 0.7500  2 Hf 2.58, 2 Sc 2.82
Se 0.1185 0.8814 0.9538  1 Hf 2.55, 2 Sc 2.82
Se 0.8814 0.1185 0.0462  1 Hf 2.55, 2 Sc 2.82
Rb 0.2466 0.7534 0.2500  8 Se 3.46-3.68
Rb 0.7534 0.2466 0.7500  8 Se 3.46-3.68
Sc 0.5000 0.5000 0.0000  6 Se 2.82
Sc 0.5000 0.5000 0.5000  6 Se 2.82

## Properties
Space-group type: Cmcm

Short version: B) is the least stable of them.

A) Density functional theory data (GGA-PBE) for an optimized crystal structure of RbHfZnSe3.

a b c (Å): 9.0943 3.9239 9.9501
angles (deg): 90.00 112.57 90.00
Closest atoms and distances in Å follow each position.
Atoms (fractional coordinates):
Rb 0.2021 0.7500 0.2419  7 Se 3.39-3.63
Rb 0.7979 0.2500 0.7581  7 Se 3.39-3.63
Se 0.1354 0.7500 0.8648  1 Zn 2.43
Se 0.8646 0.2500 0.1352  1 Zn 2.43
Se 0.7775 0.7500 0.4448  3 Zn 2.48-2.64
Se 0.5373 0.7500 0.8367  3 Hf 2.65-2.69
Se 0.2225 0.2500 0.5552  3 Zn 2.48-2.64
Se 0.4627 0.2500 0.1633  3 Hf 2.65-2.69
Hf 0.3551 0.2500 0.8757  6 Se 2.65-2.94
Hf 0.6449 0.7500 0.1243  6 Se 2.65-2.94
Zn 0.9150 0.2500 0.3931  4 Se 2.43-2.64
Zn 0.0850 0.7500 0.6069  4 Se 2.43-2.64

## Properties
Space-group type: P2_1/m

B) Density functional theory data (GGA-PBE) for an optimized crystal structure of RbHfZnSe3.

a b c (Å): 8.0496 8.0496 10.4245
angles (deg): 90.00 90.00 151.81
Closest atoms and distances in Å follow each position.
Atoms (fractional coordinates):
Se 0.4363 0.5637 0.7500  2 Zn 2.50, 2 Hf 2.79
Se 0.8807 0.1193 0.0506  1 Zn 2.45
Se 0.8807 0.1193 0.4494  1 Zn 2.45
Se 0.1193 0.8807 0.5506  1 Zn 2.45
Se 0.1193 0.8807 0.9494  1 Zn 2.45
Se 0.5637 0.4363 0.2500  2 Zn 2.50, 2 Hf 2.79
Rb 0.2497 0.7503 0.2500  8 Se 3.50-3.74, 2 Zn 3.88, 2 Rb 3.92
Rb 0.7503 0.2497 0.7500  8 Se 3.50-3.74, 2 Zn 3.88, 2 Rb 3.92
Hf 0.5000 0.5000 0.0000  6 Se 2.75-2.79
Hf 0.5000 0.5000 0.5000  6 Se 2.75-2.79
Zn 0.9638 0.0362 0.2500  4 Se 2.45-2.50
Zn 0.0362 0.9638 0.7500  4 Se 2.45-2.50

## Properties
Space-group type: Cmcm

Short version: B) is the least stable of them.

A) Density functional theory data (GGA-PBE) for an optimized crystal structure of RbHfSn.

a b c (Å): 5.3005 5.3005 5.3005
angles (deg): 60.00 60.00 60.00
Closest atoms and distances in Å follow each position.
Atoms (fractional coordinates):
Sn 0.0000 0.0000 0.0000  4 Hf 3.25, 4 Rb 3.25
Hf 0.2500 0.2500 0.2500  4 Sn 3.25
Rb 0.7500 0.7500 0.7500  4 Sn 3.25

## Properties
Space-group type: F-43m

B) Density functional theory data (GGA-PBE) for an optimized crystal structure of RbHfSn.

a b c (Å): 5.2868 5.2868 5.2868
angles (deg): 60.00 60.00 60.00
Closest atoms and distances in Å follow each position.
Atoms (fractional coordinates):
Rb 0.0000 0.0000 0.0000  4 Sn 3.24, 4 Hf 3.24
Sn 0.7500 0.7500 0.7500  4 Rb 3.24
Hf 0.2500 0.2500 0.2500  4 Rb 3.24

## Properties
Space-group type: F-43m

Short version: B) is the least stable of them.